(1)
First-principles (GGA-PBE) data for a geometry-optimized BaAg2Cl structure, as listed in Alexandria.

## Properties
ΔE to the lowest computed polymorph = 50 meV/atom
volume = 29.747 Å³ per atom
DOS(E_F) = 0.24 states/eV/atom
crystal system = tetragonal
E_form (uncorrected) = -69 kJ/mol of atoms

Geometry as CIF:
```
data_BaAg2Cl
_chemical_formula_sum 'Ba1 Ag2 Cl1'
_space_group_name_H-M_alt 'P 4 m m'
_space_group_IT_number 99
_space_group_name_Hall 'P 4 -2'
_cell_length_a 4.0140
_cell_length_b 4.0140
_cell_length_c 7.3848
_cell_angle_alpha 90.00
_cell_angle_beta 90.00
_cell_angle_gamma 90.00
loop_
_atom_site_label
_atom_site_type_symbol
_atom_site_fract_x
_atom_site_fract_y
_atom_site_fract_z
_atom_site_occupancy
Ba1 Ba 0.0000 0.0000 0.0000 1
Ag1 Ag 0.0000 0.0000 0.5790 1
Ag2 Ag 0.5000 0.5000 0.6328 1
Cl1 Cl 0.5000 0.5000 0.1610 1
```

(2)
First-principles (GGA-PBE) data for a geometry-optimized Ba2AgCl structure, as listed in Alexandria.

## Properties
ΔE to the lowest computed polymorph = 185 meV/atom
volume = 35.337 Å³ per atom
DOS(E_F) = 1.12 states/eV/atom
crystal system = cubic
E_form (uncorrected) = -79 kJ/mol of atoms

Geometry as CIF:
```
data_Ba2AgCl
_chemical_formula_sum 'Ba8 Ag4 Cl4'
_space_group_name_H-M_alt 'F m -3 m'
_space_group_IT_number 225
_space_group_name_Hall '-F 4 2 3'
_cell_length_a 8.2690
_cell_length_b 8.2690
_cell_length_c 8.2690
_cell_angle_alpha 90.00
_cell_angle_beta 90.00
_cell_angle_gamma 90.00
loop_
_atom_site_label
_atom_site_type_symbol
_atom_site_fract_x
_atom_site_fract_y
_atom_site_fract_z
_atom_site_occupancy
Ba1 Ba 0.2500 0.2500 0.2500 1
Ag1 Ag 0.0000 0.0000 0.0000 1
Cl1 Cl 0.0000 0.0000 0.5000 1
```

(3)
First-principles (GGA-PBE) data for a geometry-optimized BaAg7Cl12 structure, as listed in Alexandria.

## Properties
volume = 24.527 Å³ per atom
DOS(E_F) = 1.03 states/eV/atom
crystal system = cubic
E_form (uncorrected) = -69 kJ/mol of atoms

Geometry as CIF:
```
data_BaAg7Cl12
_chemical_formula_sum 'Ba2 Ag14 Cl24'
_space_group_name_H-M_alt 'I m -3'
_space_group_IT_number 204
_space_group_name_Hall '-I 2 2 3'
_cell_length_a 9.9366
_cell_length_b 9.9366
_cell_length_c 9.9366
_cell_angle_alpha 90.00
_cell_angle_beta 90.00
_cell_angle_gamma 90.00
loop_
_atom_site_label
_atom_site_type_symbol
_atom_site_fract_x
_atom_site_fract_y
_atom_site_fract_z
_atom_site_occupancy
Ba1 Ba 0.0000 0.0000 0.0000 1
Ag1 Ag 0.0000 0.0000 0.5000 1
Ag2 Ag 0.2500 0.2500 0.2500 1
Cl1 Cl 0.0000 0.1742 0.3027 1
```

(4)
First-principles (GGA-PBE) data for a geometry-optimized BaAg2Cl7 structure, as listed in Alexandria.

## Properties
volume = 27.553 Å³ per atom
DOS(E_F) = 0.43 states/eV/atom
crystal system = orthorhombic
E_form (uncorrected) = -78 kJ/mol of atoms

Geometry as CIF:
```
data_BaAg2Cl7
_chemical_formula_sum 'Ba2 Ag4 Cl14'
_space_group_name_H-M_alt 'C m m m'
_space_group_IT_number 65
_space_group_name_Hall '-C 2 2'
_cell_length_a 7.9312
_cell_length_b 13.9996
_cell_length_c 4.9630
_cell_angle_alpha 90.00
_cell_angle_beta 90.00
_cell_angle_gamma 90.00
loop_
_atom_site_label
_atom_site_type_symbol
_atom_site_fract_x
_atom_site_fract_y
_atom_site_fract_z
_atom_site_occupancy
Ba1 Ba 0.0000 0.0000 0.0000 1
Ag1 Ag 0.0000 0.2581 0.5000 1
Cl1 Cl 0.0000 0.2380 0.0000 1
Cl2 Cl 0.0000 0.5000 0.5000 1
Cl3 Cl 0.2194 0.1188 0.5000 1
```

(5)
First-principles (GGA-PBE) data for a geometry-optimized Ba2AgCl structure, as listed in Alexandria.

## Properties
ΔE to the lowest computed polymorph = 159 meV/atom
volume = 37.422 Å³ per atom
DOS(E_F) = 0.74 states/eV/atom
crystal system = orthorhombic
E_form (uncorrected) = -81 kJ/mol of atoms

Geometry as CIF:
```
data_Ba2AgCl
_chemical_formula_sum 'Ba4 Ag2 Cl2'
_space_group_name_H-M_alt 'I m m m'
_space_group_IT_number 71
_space_group_name_Hall '-I 2 2'
_cell_length_a 5.0063
_cell_length_b 6.8818
_cell_length_c 8.6897
_cell_angle_alpha 90.00
_cell_angle_beta 90.00
_cell_angle_gamma 90.00
loop_
_atom_site_label
_atom_site_type_symbol
_atom_site_fract_x
_atom_site_fract_y
_atom_site_fract_z
_atom_site_occupancy
Ba1 Ba 0.0000 0.0000 0.2348 1
Ag1 Ag 0.0000 0.5000 0.0000 1
Cl1 Cl 0.0000 0.5000 0.5000 1
```

(6)
First-principles (GGA-PBE) data for a geometry-optimized Ba2AgCl structure, as listed in Alexandria.

## Properties
ΔE to the lowest computed polymorph = 0 meV/atom
volume = 39.225 Å³ per atom
DOS(E_F) = 0.43 states/eV/atom
crystal system = trigonal
E_form (uncorrected) = -97 kJ/mol of atoms

Geometry as CIF:
```
data_Ba2AgCl
_chemical_formula_sum 'Ba6 Ag3 Cl3'
_space_group_name_H-M_alt 'R -3 m'
_space_group_IT_number 166
_space_group_name_Hall '-R 3 2"'
_cell_length_a 4.6775
_cell_length_b 4.6775
_cell_length_c 24.8426
_cell_angle_alpha 90.00
_cell_angle_beta 90.00
_cell_angle_gamma 120.00
loop_
_atom_site_label
_atom_site_type_symbol
_atom_site_fract_x
_atom_site_fract_y
_atom_site_fract_z
_atom_site_occupancy
Ba1 Ba 0.0000 0.0000 0.2459 1
Ag1 Ag 0.0000 0.0000 0.5000 1
Cl1 Cl 0.0000 0.0000 0.0000 1
```

(7)
First-principles (GGA-PBE) data for a geometry-optimized BaAg2Cl structure, as listed in Alexandria.

## Properties
ΔE to the lowest computed polymorph = 44 meV/atom
volume = 28.365 Å³ per atom
DOS(E_F) = 0.32 states/eV/atom
crystal system = orthorhombic
E_form (uncorrected) = -70 kJ/mol of atoms

Geometry as CIF:
```
data_BaAg2Cl
_chemical_formula_sum 'Ba2 Ag4 Cl2'
_space_group_name_H-M_alt 'I m m m'
_space_group_IT_number 71
_space_group_name_Hall '-I 2 2'
_cell_length_a 4.2730
_cell_length_b 4.2967
_cell_length_c 12.3598
_cell_angle_alpha 90.00
_cell_angle_beta 90.00
_cell_angle_gamma 90.00
loop_
_atom_site_label
_atom_site_type_symbol
_atom_site_fract_x
_atom_site_fract_y
_atom_site_fract_z
_atom_site_occupancy
Ba1 Ba 0.0000 0.0000 0.0000 1
Ag1 Ag 0.0000 0.5000 0.2502 1
Cl1 Cl 0.0000 0.0000 0.5000 1
```

(8)
First-principles (GGA-PBE) data for a geometry-optimized BaAg2Cl structure, as listed in Alexandria.

## Properties
ΔE to the lowest computed polymorph = 136 meV/atom
volume = 30.636 Å³ per atom
DOS(E_F) = 0.30 states/eV/atom
crystal system = orthorhombic
E_form (uncorrected) = -61 kJ/mol of atoms

Geometry as CIF:
```
data_BaAg2Cl
_chemical_formula_sum 'Ba2 Ag4 Cl2'
_space_group_name_H-M_alt 'I m m 2'
_space_group_IT_number 44
_space_group_name_Hall 'I 2 -2'
_cell_length_a 5.1018
_cell_length_b 6.2461
_cell_length_c 7.6910
_cell_angle_alpha 90.00
_cell_angle_beta 90.00
_cell_angle_gamma 90.00
loop_
_atom_site_label
_atom_site_type_symbol
_atom_site_fract_x
_atom_site_fract_y
_atom_site_fract_z
_atom_site_occupancy
Ba1 Ba 0.0000 0.0000 0.0000 1
Ag1 Ag 0.0000 0.0000 0.5470 1
Ag2 Ag 0.0000 0.5000 0.1780 1
Cl1 Cl 0.0000 0.5000 0.7273 1
```

(9)
First-principles (GGA-PBE) data for a geometry-optimized BaAgCl4 structure, as listed in Alexandria.

## Properties
ΔE to the lowest computed polymorph = 0 meV/atom
volume = 33.772 Å³ per atom
DOS(E_F) = 0.59 states/eV/atom
crystal system = tetragonal
E_form (uncorrected) = -135 kJ/mol of atoms

Geometry as CIF:
```
data_BaAgCl4
_chemical_formula_sum 'Ba2 Ag2 Cl8'
_space_group_name_H-M_alt 'I -4'
_space_group_IT_number 82
_space_group_name_Hall 'I -4'
_cell_length_a 7.2765
_cell_length_b 7.2765
_cell_length_c 7.6542
_cell_angle_alpha 90.00
_cell_angle_beta 90.00
_cell_angle_gamma 90.00
loop_
_atom_site_label
_atom_site_type_symbol
_atom_site_fract_x
_atom_site_fract_y
_atom_site_fract_z
_atom_site_occupancy
Ba1 Ba 0.0000 0.0000 0.0000 1
Ag1 Ag 0.0000 0.5000 0.7500 1
Cl1 Cl 0.2390 0.7402 0.7489 1
```

(10)
First-principles (GGA-PBE) data for a geometry-optimized Ba2AgCl structure, as listed in Alexandria.

## Properties
ΔE to the lowest computed polymorph = 24 meV/atom
volume = 39.684 Å³ per atom
DOS(E_F) = 0.21 states/eV/atom
crystal system = trigonal
E_form (uncorrected) = -94 kJ/mol of atoms

Geometry as CIF:
```
data_Ba2AgCl
_chemical_formula_sum 'Ba6 Ag3 Cl3'
_space_group_name_H-M_alt 'R 3 m'
_space_group_IT_number 160
_space_group_name_Hall 'R 3 -2"'
_cell_length_a 4.6421
_cell_length_b 4.6421
_cell_length_c 25.5170
_cell_angle_alpha 90.00
_cell_angle_beta 90.00
_cell_angle_gamma 120.00
loop_
_atom_site_label
_atom_site_type_symbol
_atom_site_fract_x
_atom_site_fract_y
_atom_site_fract_z
_atom_site_occupancy
Ba1 Ba 0.0000 0.0000 0.0000 1
Ba2 Ba 0.0000 0.0000 0.1798 1
Ag1 Ag 0.0000 0.0000 0.5892 1
Cl1 Cl 0.0000 0.0000 0.7603 1
```